Entry 1:
{
  "formula": "SrIn6Au12",
  "functional": "PBE",
  "state": "relaxed",
  "volume_a3_per_atom": 21.63,
  "e_above_lowest_polymorph_kcal_per_mol_atoms": 0.000,
  "space_group": "No. 148",
  "cell": [[6.578, 3.798, 2.742], [-6.578, 3.798, 2.742], [0.000, -7.595, 2.742]],
  "species": ["Sr", "In", "In", "In", "In", "In", "In", "Au", "Au", "Au", "Au", "Au", "Au", "Au", "Au", "Au", "Au", "Au", "Au"],
  "frac_coords": [[0.000, 0.000, 0.000], [0.025, 0.241, 0.506], [0.241, 0.506, 0.025], [0.494, 0.975, 0.759], [0.506, 0.025, 0.241], [0.759, 0.494, 0.975], [0.975, 0.759, 0.494], [0.184, 0.795, 0.280], [0.205, 0.720, 0.816], [0.221, 0.485, 0.369], [0.280, 0.184, 0.795], [0.369, 0.221, 0.485], [0.485, 0.369, 0.221], [0.515, 0.631, 0.779], [0.631, 0.779, 0.515], [0.720, 0.816, 0.205], [0.779, 0.515, 0.631], [0.795, 0.280, 0.184], [0.816, 0.205, 0.720]]
}

---

Entry 2:
{
  "formula": "Dy2AsPb",
  "functional": "PBE",
  "state": "relaxed",
  "volume_a3_per_atom": 27.61,
  "e_above_lowest_polymorph_kcal_per_mol_atoms": 0.000,
  "space_group": "No. 166",
  "cell": [[4.041, 0.000, 0.000], [-2.020, 3.499, 0.000], [0.000, 0.000, 23.430]],
  "species": ["Dy", "Dy", "Dy", "Dy", "Dy", "Dy", "As", "As", "As", "Pb", "Pb", "Pb"],
  "frac_coords": [[0.000, 0.000, 0.237], [0.000, 0.000, 0.763], [0.333, 0.667, 0.430], [0.333, 0.667, 0.904], [0.667, 0.333, 0.096], [0.667, 0.333, 0.570], [0.000, 0.000, 0.500], [0.333, 0.667, 0.167], [0.667, 0.333, 0.833], [0.000, 0.000, 0.000], [0.333, 0.667, 0.667], [0.667, 0.333, 0.333]]
}

---

Entry 3:
{
  "formula": "Cs3TbBr8",
  "functional": "PBE",
  "state": "relaxed",
  "raw_formation_energy_mev_per_atom": -1385.0,
  "volume_a3_per_atom": 44.99,
  "space_group": "No. 139",
  "cell": [[-4.071, 4.071, 8.142], [4.071, -4.071, 8.142], [4.071, 4.071, -8.142]],
  "species": ["Cs", "Cs", "Cs", "Tb", "Br", "Br", "Br", "Br", "Br", "Br", "Br", "Br"],
  "frac_coords": [[0.000, 0.000, 0.000], [0.250, 0.750, 0.500], [0.750, 0.250, 0.500], [0.500, 0.500, 0.000], [0.183, 0.183, 0.578], [0.183, 0.605, 0.000], [0.395, 0.395, 0.578], [0.395, 0.817, 0.000], [0.605, 0.183, 0.000], [0.605, 0.605, 0.422], [0.817, 0.395, 0.000], [0.817, 0.817, 0.422]]
}

---

Entry 4:
{
  "formula": "Li3Th3CuSe8",
  "functional": "PBE",
  "state": "relaxed",
  "raw_formation_energy_mev_per_atom": -1311.7,
  "volume_a3_per_atom": 25.69,
  "space_group": "No. 12",
  "cell": [[6.886, -4.156, 0.000], [6.886, 4.156, 0.000], [-4.407, 0.000, 6.734]],
  "species": ["Li", "Li", "Li", "Th", "Th", "Th", "Cu", "Se", "Se", "Se", "Se", "Se", "Se", "Se", "Se"],
  "frac_coords": [[0.000, 0.000, 0.000], [0.000, 0.500, 0.500], [0.500, 0.000, 0.500], [0.000, 0.500, 0.000], [0.500, 0.000, 0.000], [0.500, 0.500, 0.500], [0.000, 0.000, 0.500], [0.241, 0.241, 0.742], [0.243, 0.243, 0.256], [0.244, 0.756, 0.257], [0.244, 0.756, 0.743], [0.756, 0.244, 0.257], [0.756, 0.244, 0.743], [0.757, 0.757, 0.744], [0.759, 0.759, 0.258]]
}

---

The records above yield theoretical density values of 12.69 9.13 3.68 6.08 g/cm³, respectively.